DFT (PBE) results for an optimized crystal structure of GeAs2Cl.

The total moment comes out at 0.00 μB/f.u. For the calculated density, the calculation gives 3.9 g/cm3. The density of states at the Fermi level comes out at 12.86 states/eV per cell.

It has space group I-42d (No. 122), with a = 6.677 Å, b = 6.677 Å, c = 9.917 Å, α = 90.00°, β = 90.00° and γ = 90.00°. Symmetry generates all atoms from Ge at (0.000, 0.000, 0.000), As at (0.210, 0.250, 0.125) and Cl at (0.000, 0.000, 0.500).



DFT (PBE) results for an optimized crystal structure of Te5Ir.

The total moment comes out at 0.00 μB/f.u. For the calculated density, the calculation gives 7.8 g/cm3. The density of states at the Fermi level comes out at 6.48 states/eV per cell.

It has space group Cmmm (No. 65), with a = 4.082 Å, b = 14.539 Å, c = 5.976 Å, α = 90.00°, β = 90.00° and γ = 90.00°. Symmetry generates all atoms from Te at (0.000, 0.000, 0.000), Te at (0.000, 0.342, 0.000), Te at (0.000, 0.381, 0.500) and Ir at (0.000, 0.000, 0.500).



DFT (PBE) results for an optimized crystal structure of CsHgCl3.

The total moment comes out at 0.00 μB/f.u. For the calculated density, the calculation gives 2.9 g/cm3. The density of states at the Fermi level comes out at 22.82 states/eV per cell.

It has space group Pm-3m (No. 221), with a = 6.347 Å, b = 6.347 Å, c = 6.347 Å, α = 90.00°, β = 90.00° and γ = 90.00°. Symmetry generates all atoms from Cs at (0.000, 0.000, 0.000), Hg at (0.500, 0.500, 0.500) and Cl at (0.000, 0.000, 0.500).



DFT (PBE) results for an optimized crystal structure of BaCdHg2.

The total moment comes out at 0.00 μB/f.u. For the calculated density, the calculation gives 8.9 g/cm3. For the energy of formation from the pure elements, the calculation gives -118.3 kJ/mol of formula units. The density of states at the Fermi level comes out at 18.09 states/eV per cell.

It has space group F-43m (No. 216), with a = 7.862 Å, b = 7.862 Å, c = 7.862 Å, α = 90.00°, β = 90.00° and γ = 90.00°. Symmetry generates all atoms from Ba at (0.000, 0.000, 0.000), Cd at (0.250, 0.250, 0.750), Hg at (0.000, 0.000, 0.500) and Hg at (0.250, 0.250, 0.250).



Final energy list, top to bottom, in eV/atom: -3.634; -4.131; -1.594; -1.167